# Tl3SeCl2

A relaxed Tl3SeCl2 crystal (PBE, the Alexandria database).

Its formation energy without anion corrections is -0.699 eV per atom.

The structure belongs to space group C2/c (No. 15); the cell edges are 14.721, 6.060 and 9.180 Å and the angles 90.00°, 108.16° and 90.00°. The asymmetric unit holds Tl at (0.000, 0.001, 0.250), Tl at (0.161, 0.500, 0.081), Se at (0.000, 0.499, 0.750) and Cl at (0.151, 0.001, 0.575).

***

# CsSrIn3

A relaxed CsSrIn3 crystal (PBE, the Alexandria database).

The value obtained for the formation energy is 0.703 eV per atom. As for the offset from the most stable computed form: 1.889 eV/f.u.

The structure belongs to space group Pm-3m (No. 221); the cell edges are 6.289, 6.289 and 6.289 Å and the angles 90.00°, 90.00° and 90.00°. The asymmetric unit holds Cs at (0.000, 0.000, 0.000), Sr at (0.500, 0.500, 0.500) and In at (0.000, 0.000, 0.500).

***

no.,density of states at the Fermi level (states/eV/f.u.),total energy (eV per cell),size of the total moment (μB/atom)
1,1.90,-73.88,0.000
2,6.18,-7.23,0.000